Record 1
# CaZrIn3 | Alexandria via LeMat-Bulk | PBEsol | optimized geometry
# E_tot, eV/atom: -3.84
# Formation enthalpy at 0 K, eV/atom: 0.1972
data_CaZrIn3
_chemical_formula_sum 'Ca1 Zr1 In3'
_space_group_name_H-M_alt 'P 1'
_space_group_IT_number 1
_cell_length_a 5.442
_cell_length_b 5.442
_cell_length_c 5.442
_cell_angle_alpha 90.00
_cell_angle_beta 90.00
_cell_angle_gamma 90.00
loop_
_space_group_symop_operation_xyz
'x,y,z'
loop_
_atom_site_label
_atom_site_type_symbol
_atom_site_fract_x
_atom_site_fract_y
_atom_site_fract_z
_atom_site_occupancy
Ca1 Ca 0.000 0.000 0.000 1
Zr1 Zr 0.500 0.500 0.500 1
In1 In 0.000 0.500 0.500 1
In2 In 0.500 0.000 0.500 1
In3 In 0.500 0.500 0.000 1

Record 2
# YCd3N | Alexandria via LeMat-Bulk | PBEsol | optimized geometry
# E_tot, eV/atom: -3.38
# E_form (uncorrected), eV per atom: 0.4048
data_YCd3N
_chemical_formula_sum 'Y1 Cd3 N1'
_space_group_name_H-M_alt 'P 1'
_space_group_IT_number 1
_cell_length_a 4.673
_cell_length_b 4.673
_cell_length_c 4.673
_cell_angle_alpha 90.00
_cell_angle_beta 90.00
_cell_angle_gamma 90.00
loop_
_space_group_symop_operation_xyz
'x,y,z'
loop_
_atom_site_label
_atom_site_type_symbol
_atom_site_fract_x
_atom_site_fract_y
_atom_site_fract_z
_atom_site_occupancy
Y1 Y 0.000 0.000 0.000 1
Cd1 Cd 0.000 0.500 0.500 1
Cd2 Cd 0.500 0.000 0.500 1
Cd3 Cd 0.500 0.500 0.000 1
N1 N 0.500 0.500 0.500 1

Record 3
# Ac2IrRh | Alexandria via LeMat-Bulk | PBEsol | optimized geometry
# E_tot, eV/atom: -7.16
# Formation enthalpy at 0 K, eV/atom: -0.4188
data_Ac2IrRh
_chemical_formula_sum 'Ac2 Ir1 Rh1'
_space_group_name_H-M_alt 'P 1'
_space_group_IT_number 1
_cell_length_a 5.162
_cell_length_b 5.162
_cell_length_c 5.162
_cell_angle_alpha 60.00
_cell_angle_beta 60.00
_cell_angle_gamma 60.00
loop_
_space_group_symop_operation_xyz
'x,y,z'
loop_
_atom_site_label
_atom_site_type_symbol
_atom_site_fract_x
_atom_site_fract_y
_atom_site_fract_z
_atom_site_occupancy
Ac1 Ac 0.250 0.250 0.250 1
Ac2 Ac 0.750 0.750 0.750 1
Ir1 Ir 0.000 0.000 0.000 1
Rh1 Rh 0.500 0.500 0.500 1

Record 4
# NdAs2 | Alexandria via LeMat-Bulk | PBEsol | optimized geometry
# E_tot, eV/atom: -6.14
# Formation enthalpy at 0 K, eV/atom: -1.0178
data_NdAs2
_chemical_formula_sum 'Nd4 As8'
_space_group_name_H-M_alt 'P 1'
_space_group_IT_number 1
_cell_length_a 4.072
_cell_length_b 6.791
_cell_length_c 10.466
_cell_angle_alpha 90.00
_cell_angle_beta 106.90
_cell_angle_gamma 90.00
loop_
_space_group_symop_operation_xyz
'x,y,z'
loop_
_atom_site_label
_atom_site_type_symbol
_atom_site_fract_x
_atom_site_fract_y
_atom_site_fract_z
_atom_site_occupancy
Nd1 Nd 0.090 0.185 0.361 1
Nd2 Nd 0.090 0.315 0.861 1
Nd3 Nd 0.910 0.685 0.139 1
Nd4 Nd 0.910 0.815 0.639 1
As1 As 0.266 0.623 0.450 1
As2 As 0.266 0.877 0.950 1
As3 As 0.459 0.145 0.672 1
As4 As 0.459 0.355 0.172 1
As5 As 0.541 0.645 0.828 1
As6 As 0.541 0.855 0.328 1
As7 As 0.734 0.123 0.050 1
As8 As 0.734 0.377 0.550 1

Record 5
# Ca2TaMn | Alexandria via LeMat-Bulk | PBEsol | optimized geometry
# E_tot, eV/atom: -5.73
# Formation enthalpy at 0 K, eV/atom: 0.9114
data_Ca2TaMn
_chemical_formula_sum 'Ca2 Ta1 Mn1'
_space_group_name_H-M_alt 'P 1'
_space_group_IT_number 1
_cell_length_a 3.024
_cell_length_b 4.958
_cell_length_c 5.924
_cell_angle_alpha 90.00
_cell_angle_beta 90.00
_cell_angle_gamma 90.00
loop_
_space_group_symop_operation_xyz
'x,y,z'
loop_
_atom_site_label
_atom_site_type_symbol
_atom_site_fract_x
_atom_site_fract_y
_atom_site_fract_z
_atom_site_occupancy
Ca1 Ca 0.000 0.000 0.249 1
Ca2 Ca 0.000 0.000 0.751 1
Ta1 Ta 0.500 0.500 0.500 1
Mn1 Mn 0.500 0.500 0.000 1

Record 6
# Mg2CdSb2 | Alexandria via LeMat-Bulk | PBEsol | optimized geometry
# E_tot, eV/atom: -2.83
# E_form (uncorrected), eV per atom: -0.0844
data_Mg2CdSb2
_chemical_formula_sum 'Mg2 Cd1 Sb2'
_space_group_name_H-M_alt 'P 1'
_space_group_IT_number 1
_cell_length_a 6.460
_cell_length_b 6.460
_cell_length_c 6.460
_cell_angle_alpha 133.38
_cell_angle_beta 133.38
_cell_angle_gamma 68.06
loop_
_space_group_symop_operation_xyz
'x,y,z'
loop_
_atom_site_label
_atom_site_type_symbol
_atom_site_fract_x
_atom_site_fract_y
_atom_site_fract_z
_atom_site_occupancy
Mg1 Mg 0.250 0.750 0.500 1
Mg2 Mg 0.750 0.250 0.500 1
Cd1 Cd 0.000 0.000 0.000 1
Sb1 Sb 0.371 0.371 0.000 1
Sb2 Sb 0.629 0.629 0.000 1

Record 7
# BTeOsN2 | Alexandria via LeMat-Bulk | PBEsol | optimized geometry
# E_tot, eV/atom: -6.12
# E_form (uncorrected), eV per atom: 1.8430
data_BTeOsN2
_chemical_formula_sum 'B1 Te1 Os1 N2'
_space_group_name_H-M_alt 'P 1'
_space_group_IT_number 1
_cell_length_a 3.574
_cell_length_b 3.574
_cell_length_c 4.762
_cell_angle_alpha 90.00
_cell_angle_beta 90.00
_cell_angle_gamma 90.00
loop_
_space_group_symop_operation_xyz
'x,y,z'
loop_
_atom_site_label
_atom_site_type_symbol
_atom_site_fract_x
_atom_site_fract_y
_atom_site_fract_z
_atom_site_occupancy
B1 B 0.000 0.000 0.000 1
Te1 Te 0.500 0.500 0.500 1
Os1 Os 0.000 0.000 0.500 1
N1 N 0.000 0.500 0.000 1
N2 N 0.500 0.000 0.000 1

Record 8
# NiHg2 | Alexandria via LeMat-Bulk | PBEsol | optimized geometry
# E_tot, eV/atom: -2.04
# Formation enthalpy at 0 K, eV/atom: 0.3916
data_NiHg2
_chemical_formula_sum 'Ni1 Hg2'
_space_group_name_H-M_alt 'P 1'
_space_group_IT_number 1
_cell_length_a 4.653
_cell_length_b 4.653
_cell_length_c 2.837
_cell_angle_alpha 90.00
_cell_angle_beta 90.00
_cell_angle_gamma 120.00
loop_
_space_group_symop_operation_xyz
'x,y,z'
loop_
_atom_site_label
_atom_site_type_symbol
_atom_site_fract_x
_atom_site_fract_y
_atom_site_fract_z
_atom_site_occupancy
Ni1 Ni 0.000 0.000 0.000 1
Hg1 Hg 0.333 0.667 0.500 1
Hg2 Hg 0.667 0.333 0.500 1